A geometry-optimized ScCd4 structure, computed with PBE-GGA.

Cell and atoms, written as extended XYZ:
```
5
Lattice="-1.608 6.651 2.729 -5.309 2.418 4.500 5.186 -5.071 -1.288" Properties=species:S:1:pos:R:3 pbc="T T T"
Cd 0.060 3.057 2.528
Cd -4.148 5.438 4.335
Cd -1.790 0.940 3.413
Sc 0.000 0.000 0.000
Cd -2.770 3.631 2.895
```

Results
For the formation energy from the elements, the calculation gives -6 meV per atom. The space-group type is No. 139. Its crystal system is tetragonal.